Record 1
## BaTcRh2 (PBE)

Data for an optimized crystal structure of BaTcRh2.

Lattice parameters (Å, degrees): 6.4270 8.0133 2.9851 90.00 90.00 90.00
Space group Cmmm (No. 65)
Symmetry-distinct sites (fractional):
Ba (0.0000, 0.0000, 0.0000) [2 per cell]
Tc (0.0000, 0.5000, 0.0000) [2 per cell]
Rh (0.2500, 0.2500, 0.5000) [4 per cell]

* excess energy over the best structure of this formula in the dataset: 211 kJ/mol of formula units
* DOS(E_F): 1.085 states/eV per atom
* calculated formation energy: 2.847 eV/f.u.
* electronic total energy: -6.04 eV/atom

=====

Record 2
## SrCaI (PBE)

Data for an optimized crystal structure of SrCaI.

Lattice parameters (Å, degrees): 16.2148 4.2138 7.2905 90.00 90.00 90.00
Space group Amm2 (No. 38)
Symmetry-distinct sites (fractional):
Sr (0.1986, 0.0000, 0.0000) [4 per cell]
Ca (0.0000, 0.0000, 0.3345) [2 per cell]
Ca (0.5000, 0.0000, 0.9986) [2 per cell]
I (0.3655, 0.0000, 0.3321) [4 per cell]

* excess energy over the best structure of this formula in the dataset: 2 kJ/mol of formula units
* E_form (uncorrected): -0.71 eV/atom
* DOS(E_F): 0.894 states/eV per atom
* electronic total energy: -2.45 eV/atom

=====

Record 3
## Sm5Sb2Te2 (PBE)

Data for an optimized crystal structure of Sm5Sb2Te2.

Lattice parameters (Å, degrees): 15.5206 5.4406 9.2102 90.00 125.85 90.00
Space group C2/m (No. 12)
Symmetry-distinct sites (fractional):
Sm (0.0000, 0.0000, 0.0000) [2 per cell]
Sm (0.1345, 0.0000, 0.7958) [4 per cell]
Sm (0.1345, 0.5000, 0.3173) [4 per cell]
Sb (0.1177, 0.5000, 0.9611) [4 per cell]
Te (0.1170, 0.0000, 0.4408) [4 per cell]

* excess energy over the best structure of this formula in the dataset: 170 kJ/mol of formula units
* E_form (uncorrected): -0.96 eV/atom
* DOS(E_F): 0.811 states/eV per atom
* electronic total energy: -5.19 eV/atom

=====

Record 4
## CdTc2Pb (PBE)

Data for an optimized crystal structure of CdTc2Pb.

Lattice parameters (Å, degrees): 3.0713 3.0713 27.0669 90.00 90.00 120.00
Space group R-3m (No. 166, hexagonal axes)
Symmetry-distinct sites (fractional):
Cd (0.0000, 0.0000, 0.0000) [3 per cell]
Tc (0.0000, 0.0000, 0.2488) [6 per cell]
Pb (0.0000, 0.0000, 0.5000) [3 per cell]

* excess energy over the best structure of this formula in the dataset: 210 kJ/mol of formula units
* DOS(E_F): 0.670 states/eV per atom
* calculated formation energy: 3.014 eV/f.u.
* electronic total energy: -5.59 eV/atom

=====

Record 5
## ScAlPb2 (PBE)

Data for an optimized crystal structure of ScAlPb2.

Lattice parameters (Å, degrees): 6.4915 10.4265 3.4382 90.00 119.64 90.00
Space group C2/m (No. 12)
Symmetry-distinct sites (fractional):
Sc (0.0000, 0.0000, 0.0000) [2 per cell]
Al (0.0000, 0.5000, 0.0000) [2 per cell]
Pb (0.2500, 0.2500, 0.5000) [4 per cell]

* DOS(E_F): 0.722 states/eV per atom
* calculated formation energy: 0.034 eV/f.u.
* electronic total energy: -4.36 eV/atom

=====

Record 6
## Hg2TePb (PBE)

Data for an optimized crystal structure of Hg2TePb.

Lattice parameters (Å, degrees): 4.6382 4.6646 12.0816 90.00 100.48 90.00
Space group P2_1/m (No. 11)
Symmetry-distinct sites (fractional):
Hg (0.0472, 0.2500, 0.1055) [2 per cell]
Hg (0.4442, 0.2500, 0.8792) [2 per cell]
Te (0.3097, 0.7500, 0.6258) [2 per cell]
Pb (0.1883, 0.7500, 0.3681) [2 per cell]

* excess energy over the best structure of this formula in the dataset: 0 kJ/mol of formula units
* E_form (uncorrected): -0.17 eV/atom
* DOS(E_F): 0.136 states/eV per atom
* electronic total energy: -2.03 eV/atom

=====

Record 7
## La2Pr2Er5 (PBE)

Data for an optimized crystal structure of La2Pr2Er5.

Lattice parameters (Å, degrees): 17.7707 3.4995 9.8793 90.00 98.77 90.00
Space group C2/m (No. 12)
Symmetry-distinct sites (fractional):
La (0.1655, 0.0000, 0.2192) [4 per cell]
Pr (0.0053, 0.5000, 0.6884) [4 per cell]
Er (0.0000, 0.0000, 0.0000) [2 per cell]
Er (0.1716, 0.5000, 0.5412) [4 per cell]
Er (0.1728, 0.0000, 0.8644) [4 per cell]

* excess energy over the best structure of this formula in the dataset: 0 kJ/mol of formula units
* DOS(E_F): 1.718 states/eV per atom
* calculated formation energy: 1.293 eV/f.u.
* electronic total energy: -4.55 eV/atom

=====

Record 8
## CsBaTa (PBE)

Data for an optimized crystal structure of CsBaTa.

Lattice parameters (Å, degrees): 4.4461 7.4971 10.2207 78.36 80.39 89.70
Space group P1 (No. 1)
Symmetry-distinct sites (fractional):
Cs (0.0000, 0.0000, 0.0000) [1 per cell]
Cs (0.4507, 0.4609, 0.1593) [1 per cell]
Ba (0.1909, 0.8744, 0.5047) [1 per cell]
Ba (0.6455, 0.3462, 0.6441) [1 per cell]
Ta (0.0780, 0.5859, 0.8127) [1 per cell]
Ta (0.5905, 0.7445, 0.7729) [1 per cell]

* excess energy over the best structure of this formula in the dataset: 101 kJ/mol of formula units
* DOS(E_F): 0.966 states/eV per atom
* calculated formation energy: 2.623 eV/f.u.
* electronic total energy: -4.00 eV/atom

=====

Record 9
## BaNpAgSe4 (PBE)

Data for an optimized crystal structure of BaNpAgSe4.

Lattice parameters (Å, degrees): 7.4331 5.8506 9.3125 90.00 109.86 90.00
Space group P2_1/m (No. 11)
Symmetry-distinct sites (fractional):
Ba (0.2414, 0.2500, 0.4436) [2 per cell]
Np (0.2295, 0.2500, 0.9416) [2 per cell]
Ag (0.2510, 0.7500, 0.2007) [2 per cell]
Se (0.0411, 0.7500, 0.3653) [2 per cell]
Se (0.0607, 0.7500, 0.9079) [2 per cell]
Se (0.4605, 0.5172, 0.7880) [4 per cell]

* E_form (uncorrected): -1.03 eV/atom
* DOS(E_F): 1.359 states/eV per atom
* electronic total energy: -5.55 eV/atom

=====

Record 10
## Pm4ThS5 (PBE)

Data for an optimized crystal structure of Pm4ThS5.

Lattice parameters (Å, degrees): 4.0284 5.7087 20.2075 90.00 90.00 90.00
Space group Immm (No. 71)
Symmetry-distinct sites (fractional):
Pm (0.0000, 0.0000, 0.0993) [4 per cell]
Pm (0.0000, 0.0000, 0.3017) [4 per cell]
Th (0.0000, 0.0000, 0.5000) [2 per cell]
S (0.0000, 0.5000, 0.1004) [4 per cell]
S (0.0000, 0.5000, 0.2992) [4 per cell]
S (0.0000, 0.5000, 0.5000) [2 per cell]

* E_form (uncorrected): -1.99 eV/atom
* DOS(E_F): 0.631 states/eV per atom
* electronic total energy: -6.69 eV/atom

=====

Record 11
## TlIn2Os (PBE)

Data for an optimized crystal structure of TlIn2Os.

Lattice parameters (Å, degrees): 3.0524 4.6886 13.2017 90.00 90.00 90.00
Space group Immm (No. 71)
Symmetry-distinct sites (fractional):
Tl (0.0000, 0.0000, 0.0000) [2 per cell]
In (0.0000, 0.5000, 0.1834) [4 per cell]
Os (0.0000, 0.0000, 0.5000) [2 per cell]

* excess energy over the best structure of this formula in the dataset: 37 kJ/mol of formula units
* DOS(E_F): 0.768 states/eV per atom
* calculated formation energy: 1.820 eV/f.u.
* electronic total energy: -4.31 eV/atom

=====

Record 12
## YTl2Si (PBE)

Data for an optimized crystal structure of YTl2Si.

Lattice parameters (Å, degrees): 6.2195 6.2332 5.0322 90.00 90.00 90.00
Space group Cmmm (No. 65)
Symmetry-distinct sites (fractional):
Y (0.0000, 0.0000, 0.0000) [2 per cell]
Tl (0.2500, 0.2500, 0.5000) [4 per cell]
Si (0.0000, 0.5000, 0.0000) [2 per cell]

* excess energy over the best structure of this formula in the dataset: 1 kJ/mol of formula units
* E_form (uncorrected): -0.12 eV/atom
* DOS(E_F): 0.582 states/eV per atom
* electronic total energy: -4.28 eV/atom